Material: LiHfCoSn
Method: DFT, GGA-PBE
State: relaxed

Summary:
Relative energy among the computed polymorphs, meV per atom: 0
Space group: F-43m

Unit cell a=4.4204 b=4.4204 c=4.4204 alpha=60.00 beta=60.00 gamma=60.00
Fractional positions:
Li1 0.0000 0.0000 0.0000
Hf1 0.2500 0.2500 0.2500
Co1 0.5000 0.5000 0.5000
Sn1 0.7500 0.7500 0.7500

=====

Material: LiHfCoSn
Method: DFT, GGA-PBE
State: relaxed

Summary:
Relative energy among the computed polymorphs, meV per atom: 367
Space group: F-43m

Unit cell a=4.5706 b=4.5706 c=4.5706 alpha=60.00 beta=60.00 gamma=60.00
Fractional positions:
Li1 0.0000 0.0000 0.0000
Hf1 0.5000 0.5000 0.5000
Co1 0.2500 0.2500 0.2500
Sn1 0.7500 0.7500 0.7500

=====

Material: Li2HfZrCo2Sn2
Method: DFT, GGA-PBE
State: relaxed

Summary:
DFT total energy, eV/atom: -6.038
Space group: P-4m2

Unit cell a=4.4344 b=4.4344 c=6.2721 alpha=90.00 beta=90.00 gamma=90.00
Fractional positions:
Li1 0.0000 0.5000 0.2497
Li2 0.5000 0.0000 0.7503
Hf1 0.0000 0.0000 0.0000
Zr1 0.5000 0.5000 0.5000
Co1 0.0000 0.5000 0.7528
Co2 0.5000 0.0000 0.2472
Sn1 0.0000 0.0000 0.5000
Sn2 0.5000 0.5000 0.0000

=====

Material: LiHfZnCo
Method: DFT, GGA-PBE
State: relaxed

Summary:
Relative energy among the computed polymorphs, meV per atom: 241
Space group: F-43m

Unit cell a=4.3170 b=4.3170 c=4.3170 alpha=60.00 beta=60.00 gamma=60.00
Fractional positions:
Li1 0.0000 0.0000 0.0000
Hf1 0.2500 0.2500 0.2500
Zn1 0.5000 0.5000 0.5000
Co1 0.7500 0.7500 0.7500

=====

Material: LiHfZnCo
Method: DFT, GGA-PBE
State: relaxed

Summary:
Relative energy among the computed polymorphs, meV per atom: 0
Space group: F-43m

Unit cell a=4.3050 b=4.3050 c=4.3050 alpha=60.00 beta=60.00 gamma=60.00
Fractional positions:
Li1 0.0000 0.0000 0.0000
Hf1 0.7500 0.7500 0.7500
Zn1 0.2500 0.2500 0.2500
Co1 0.5000 0.5000 0.5000

=====

Material: LuHfMgCo
Method: DFT, GGA-PBE
State: relaxed

Summary:
Relative energy among the computed polymorphs, meV per atom: 163
Space group: F-43m

Unit cell a=4.7218 b=4.7218 c=4.7218 alpha=60.00 beta=60.00 gamma=60.00
Fractional positions:
Lu1 0.0000 0.0000 0.0000
Hf1 0.2500 0.2500 0.2500
Mg1 0.7500 0.7500 0.7500
Co1 0.5000 0.5000 0.5000

=====

Material: LuHfMgCo
Method: DFT, GGA-PBE
State: relaxed

Summary:
Relative energy among the computed polymorphs, meV per atom: 0
Space group: F-43m

Unit cell a=4.7677 b=4.7677 c=4.7677 alpha=60.00 beta=60.00 gamma=60.00
Fractional positions:
Lu1 0.0000 0.0000 0.0000
Hf1 0.5000 0.5000 0.5000
Mg1 0.7500 0.7500 0.7500
Co1 0.2500 0.2500 0.2500

=====

Material: LuHfCoSi
Method: DFT, GGA-PBE
State: relaxed

Summary:
Relative energy among the computed polymorphs, meV per atom: 0
Space group: F-43m

Unit cell a=4.5633 b=4.5633 c=4.5633 alpha=60.00 beta=60.00 gamma=60.00
Fractional positions:
Lu1 0.0000 0.0000 0.0000
Hf1 0.2500 0.2500 0.2500
Co1 0.7500 0.7500 0.7500
Si1 0.5000 0.5000 0.5000

=====

Material: LuHfTlCo
Method: DFT, GGA-PBE
State: relaxed

Summary:
Relative energy among the computed polymorphs, meV per atom: 0
Space group: F-43m

Unit cell a=4.8114 b=4.8114 c=4.8114 alpha=60.00 beta=60.00 gamma=60.00
Fractional positions:
Lu1 0.0000 0.0000 0.0000
Hf1 0.7500 0.7500 0.7500
Tl1 0.2500 0.2500 0.2500
Co1 0.5000 0.5000 0.5000

=====

Material: Hf2MgCo
Method: DFT, GGA-PBE
State: relaxed

Summary:
DFT total energy, eV/atom: -6.855
Space group: F-43m

Unit cell a=4.6701 b=4.6701 c=4.6701 alpha=60.00 beta=60.00 gamma=60.00
Fractional positions:
Hf1 0.0000 0.0000 0.0000
Hf2 0.2500 0.2500 0.2500
Mg1 0.5000 0.5000 0.5000
Co1 0.7500 0.7500 0.7500

=====

Material: HfMgCo2
Method: DFT, GGA-PBE
State: relaxed

Summary:
DFT total energy, eV/atom: -6.204
Space group: F-43m

Unit cell a=4.3854 b=4.3854 c=4.3854 alpha=60.00 beta=60.00 gamma=60.00
Fractional positions:
Hf1 0.0000 0.0000 0.0000
Mg1 0.7500 0.7500 0.7500
Co1 0.2500 0.2500 0.2500
Co2 0.5000 0.5000 0.5000

=====

Material: HfMgCoPb
Method: DFT, GGA-PBE
State: relaxed

Summary:
Relative energy among the computed polymorphs, meV per atom: 175
Space group: F-43m

Unit cell a=4.7513 b=4.7513 c=4.7513 alpha=60.00 beta=60.00 gamma=60.00
Fractional positions:
Hf1 0.0000 0.0000 0.0000
Mg1 0.7500 0.7500 0.7500
Co1 0.5000 0.5000 0.5000
Pb1 0.2500 0.2500 0.2500

=====

Material: HfMgCoPb
Method: DFT, GGA-PBE
State: relaxed

Summary:
Relative energy among the computed polymorphs, meV per atom: 0
Space group: F-43m

Unit cell a=4.6643 b=4.6643 c=4.6643 alpha=60.00 beta=60.00 gamma=60.00
Fractional positions:
Hf1 0.0000 0.0000 0.0000
Mg1 0.2500 0.2500 0.2500
Co1 0.7500 0.7500 0.7500
Pb1 0.5000 0.5000 0.5000

=====

Material: HfMgCoSb
Method: DFT, GGA-PBE
State: relaxed

Summary:
Relative energy among the computed polymorphs, meV per atom: 92
Space group: F-43m

Unit cell a=4.6960 b=4.6960 c=4.6960 alpha=60.00 beta=60.00 gamma=60.00
Fractional positions:
Hf1 0.0000 0.0000 0.0000
Mg1 0.7500 0.7500 0.7500
Co1 0.5000 0.5000 0.5000
Sb1 0.2500 0.2500 0.2500

=====

Material: HfMgCoSb
Method: DFT, GGA-PBE
State: relaxed

Summary:
Relative energy among the computed polymorphs, meV per atom: 0
Space group: F-43m

Unit cell a=4.6712 b=4.6712 c=4.6712 alpha=60.00 beta=60.00 gamma=60.00
Fractional positions:
Hf1 0.0000 0.0000 0.0000
Mg1 0.2500 0.2500 0.2500
Co1 0.7500 0.7500 0.7500
Sb1 0.5000 0.5000 0.5000

=====

Material: HfMgCoSi
Method: DFT, GGA-PBE
State: relaxed

Summary:
Relative energy among the computed polymorphs, meV per atom: 0
Space group: F-43m

Unit cell a=4.3826 b=4.3826 c=4.3826 alpha=60.00 beta=60.00 gamma=60.00
Fractional positions:
Hf1 0.0000 0.0000 0.0000
Mg1 0.2500 0.2500 0.2500
Co1 0.7500 0.7500 0.7500
Si1 0.5000 0.5000 0.5000

=====

Material: HfMgCoSi
Method: DFT, GGA-PBE
State: relaxed

Summary:
Relative energy among the computed polymorphs, meV per atom: 102
Space group: F-43m

Unit cell a=4.4204 b=4.4204 c=4.4204 alpha=60.00 beta=60.00 gamma=60.00
Fractional positions:
Hf1 0.0000 0.0000 0.0000
Mg1 0.7500 0.7500 0.7500
Co1 0.5000 0.5000 0.5000
Si1 0.2500 0.2500 0.2500

=====

Material: HfMgTlCo
Method: DFT, GGA-PBE
State: relaxed

Summary:
Relative energy among the computed polymorphs, meV per atom: 0
Space group: F-43m

Unit cell a=4.6197 b=4.6197 c=4.6197 alpha=60.00 beta=60.00 gamma=60.00
Fractional positions:
Hf1 0.0000 0.0000 0.0000
Mg1 0.2500 0.2500 0.2500
Tl1 0.5000 0.5000 0.5000
Co1 0.7500 0.7500 0.7500

=====

Material: HfMgTlCo
Method: DFT, GGA-PBE
State: relaxed

Summary:
Relative energy among the computed polymorphs, meV per atom: 229
Space group: F-43m

Unit cell a=4.6726 b=4.6726 c=4.6726 alpha=60.00 beta=60.00 gamma=60.00
Fractional positions:
Hf1 0.0000 0.0000 0.0000
Mg1 0.7500 0.7500 0.7500
Tl1 0.2500 0.2500 0.2500
Co1 0.5000 0.5000 0.5000

=====

Material: HfMgTlCo
Method: DFT, GGA-PBE
State: relaxed

Summary:
Relative energy among the computed polymorphs, meV per atom: 19
Space group: F-43m

Unit cell a=4.6944 b=4.6944 c=4.6944 alpha=60.00 beta=60.00 gamma=60.00
Fractional positions:
Hf1 0.0000 0.0000 0.0000
Mg1 0.5000 0.5000 0.5000
Tl1 0.7500 0.7500 0.7500
Co1 0.2500 0.2500 0.2500

=====

Material: YHfMgCo
Method: DFT, GGA-PBE
State: relaxed

Summary:
Relative energy among the computed polymorphs, meV per atom: 0
Space group: F-43m

Unit cell a=4.8249 b=4.8249 c=4.8249 alpha=60.00 beta=60.00 gamma=60.00
Fractional positions:
Y1 0.0000 0.0000 0.0000
Hf1 0.5000 0.5000 0.5000
Mg1 0.2500 0.2500 0.2500
Co1 0.7500 0.7500 0.7500

=====

Material: YHfMgCo
Method: DFT, GGA-PBE
State: relaxed

Summary:
Relative energy among the computed polymorphs, meV per atom: 155
Space group: F-43m

Unit cell a=4.7646 b=4.7646 c=4.7646 alpha=60.00 beta=60.00 gamma=60.00
Fractional positions:
Y1 0.0000 0.0000 0.0000
Hf1 0.7500 0.7500 0.7500
Mg1 0.2500 0.2500 0.2500
Co1 0.5000 0.5000 0.5000

=====

Material: HfCo2Mo
Method: DFT, GGA-PBE
State: relaxed

Summary:
Energy of formation from the pure elements, meV/atom: 96
Space group: F-43m

Unit cell a=4.2986 b=4.2986 c=4.2986 alpha=60.00 beta=60.00 gamma=60.00
Fractional positions:
Hf1 0.0000 0.0000 0.0000
Co1 0.2500 0.2500 0.2500
Co2 0.5000 0.5000 0.5000
Mo1 0.7500 0.7500 0.7500

=====

Material: HfCoMo2
Method: DFT, GGA-PBE
State: relaxed

Summary:
Energy of formation from the pure elements, meV/atom: -39
Space group: F-43m

Unit cell a=4.4588 b=4.4588 c=4.4588 alpha=60.00 beta=60.00 gamma=60.00
Fractional positions:
Hf1 0.0000 0.0000 0.0000
Co1 0.7500 0.7500 0.7500
Mo1 0.2500 0.2500 0.2500
Mo2 0.5000 0.5000 0.5000

=====

Material: HfCoMoPb
Method: DFT, GGA-PBE
State: relaxed

Summary:
Relative energy among the computed polymorphs, meV per atom: 0
Space group: F-43m

Unit cell a=4.6271 b=4.6271 c=4.6271 alpha=60.00 beta=60.00 gamma=60.00
Fractional positions:
Hf1 0.0000 0.0000 0.0000
Co1 0.7500 0.7500 0.7500
Mo1 0.2500 0.2500 0.2500
Pb1 0.5000 0.5000 0.5000

=====

Material: HfCoSiMo
Method: DFT, GGA-PBE
State: relaxed

Summary:
Relative energy among the computed polymorphs, meV per atom: 0
Space group: F-43m

Unit cell a=4.3443 b=4.3443 c=4.3443 alpha=60.00 beta=60.00 gamma=60.00
Fractional positions:
Hf1 0.0000 0.0000 0.0000
Co1 0.7500 0.7500 0.7500
Si1 0.5000 0.5000 0.5000
Mo1 0.2500 0.2500 0.2500

=====

Material: Hf2CoN
Method: DFT, GGA-PBE
State: relaxed

Summary:
DFT total energy, eV/atom: -9.750
Space group: C2/c

Unit cell a=5.4371 b=5.4371 c=13.5338 alpha=101.58 beta=101.58 gamma=59.87
Fractional positions:
Hf1 0.0391 0.8744 0.6201
Hf2 0.1256 0.9609 0.8799
Hf3 0.1966 0.3620 0.0956
Hf4 0.2983 0.4732 0.4044
Hf5 0.3620 0.1966 0.5956
Hf6 0.4732 0.2983 0.9044
Hf7 0.5268 0.7017 0.0956
Hf8 0.6380 0.8034 0.4044
Hf9 0.7017 0.5268 0.5956
Hf10 0.8034 0.6380 0.9044
Hf11 0.8744 0.0391 0.1201
Hf12 0.9609 0.1256 0.3799
Co1 0.0851 0.3729 0.7500
Co2 0.3729 0.0851 0.2500
Co3 0.4511 0.5489 0.2500
Co4 0.5489 0.4511 0.7500
Co5 0.6271 0.9149 0.7500
Co6 0.9149 0.6271 0.2500
N1 0.0000 0.5000 0.5000
N2 0.1604 0.6793 0.0000
N3 0.3207 0.8396 0.5000
N4 0.5000 0.0000 0.0000
N5 0.6793 0.1604 0.5000
N6 0.8396 0.3207 0.0000

=====

Material: Hf2CoN
Method: DFT, GGA-PBE
State: relaxed

Summary:
DFT total energy, eV/atom: -9.721
Space group: P6_3/mmc

Unit cell a=3.1665 b=3.1665 c=13.0092 alpha=90.00 beta=90.00 gamma=120.00
Fractional positions:
Hf1 0.3333 0.6667 0.1043
Hf2 0.3333 0.6667 0.3957
Hf3 0.6667 0.3333 0.6043
Hf4 0.6667 0.3333 0.8957
Co1 0.3333 0.6667 0.7500
Co2 0.6667 0.3333 0.2500
N1 0.0000 0.0000 0.0000
N2 0.0000 0.0000 0.5000

=====

Material: Hf6CoN2
Method: DFT, GGA-PBE
State: relaxed

Summary:
DFT total energy, eV/atom: -9.416
Space group: P-62m

Unit cell a=6.8578 b=6.8578 c=3.4642 alpha=90.00 beta=90.00 gamma=120.00
Fractional positions:
Hf1 0.0000 0.2605 0.0000
Hf2 0.0000 0.5814 0.5000
Hf3 0.2605 0.0000 0.0000
Hf4 0.4186 0.4186 0.5000
Hf5 0.5814 0.0000 0.5000
Hf6 0.7395 0.7395 0.0000
Co1 0.0000 0.0000 0.5000
N1 0.3333 0.6667 0.0000
N2 0.6667 0.3333 0.0000

=====

| no. | total magnetization (μB per formula unit) |
| --- | --- |
| 1 | 0.00 |
| 2 | 0.67 |
| 3 | 0.00 |
| 4 | 0.17 |
| 5 | 0.01 |
| 6 | 0.00 |
| 7 | 0.01 |
| 8 | 0.06 |
| 9 | 1.00 |
| 10 | 1.01 |
| 11 | 2.87 |
| 12 | 0.88 |
| 13 | 0.03 |
| 14 | 1.22 |
| 15 | 0.01 |
| 16 | 0.01 |
| 17 | 1.03 |
| 18 | 0.01 |
| 19 | 0.14 |
| 20 | 0.60 |
| 21 | 0.00 |
| 22 | 0.00 |
| 23 | 0.00 |
| 24 | 1.14 |
| 25 | 0.84 |
| 26 | 0.77 |
| 27 | 0.00 |
| 28 | 0.02 |
| 29 | 0.01 |